Below is Ac3Tl2Au after structural relaxation, with properties calculated at the PBE level.

Structure (POSCAR):
```
Ac3Tl2Au
1.0
3.949 0.000 0.000
0.000 3.949 0.000
0.000 0.000 12.852
Tl Ac Au
2 3 1
Direct
0.500 0.500 0.824
0.500 0.500 0.176
0.000 0.000 0.353
0.000 0.000 0.647
0.000 0.000 0.000
0.500 0.500 0.500
```

Values from the calculation:
The energy relative to the elements is -0.49 eV/atom. As for the total DFT energy (no corrections): -0.1427 hartree per atom. For the polymorph energy (0 for the lowest one), the calculation gives 0.000 eV/atom.